# FeMoAs2Pt, relaxed, DFT PBE-GGA
data_FeMoAs2Pt
_chemical_formula_sum 'Fe1 Mo1 As2 Pt1'
_cell_length_a 4.4029
_cell_length_b 4.4029
_cell_length_c 4.5411
_cell_angle_alpha 90.00
_cell_angle_beta 90.00
_cell_angle_gamma 90.00
_symmetry_space_group_name_H-M 'P 4/m m m'
_symmetry_Int_Tables_number 123
_symmetry_space_group_name_Hall '-P 4 2'
loop_
_atom_site_label
_atom_site_type_symbol
_atom_site_fract_x
_atom_site_fract_y
_atom_site_fract_z
Fe1 Fe 0.0000 0.0000 0.0000
Mo1 Mo 0.0000 0.0000 0.5000
As1 As 0.0000 0.5000 0.0000
Pt1 Pt 0.5000 0.5000 0.5000
# **Energy relative to the elements**: 0.757 eV/atom
# **Crystal system**: tetragonal
# **Raw total energy**: -0.4535 Ry per atom

# AcLaMg17, relaxed, DFT PBE-GGA
data_AcLaMg17
_chemical_formula_sum 'Ac3 La3 Mg51'
_cell_length_a 10.4007
_cell_length_b 10.4007
_cell_length_c 15.3305
_cell_angle_alpha 90.00
_cell_angle_beta 90.00
_cell_angle_gamma 120.00
_symmetry_space_group_name_H-M 'R 3 m'
_symmetry_Int_Tables_number 160
_symmetry_space_group_name_Hall 'R 3 -2"'
loop_
_atom_site_label
_atom_site_type_symbol
_atom_site_fract_x
_atom_site_fract_y
_atom_site_fract_z
Ac1 Ac 0.0000 0.0000 0.0000
La1 La 0.0000 0.0000 0.3337
Mg1 Mg 0.0000 0.0000 0.5662
Mg2 Mg 0.0000 0.0000 0.7629
Mg3 Mg 0.0027 0.5014 0.8181
Mg4 Mg 0.0364 0.3683 0.3325
Mg5 Mg 0.1672 0.3344 0.4993
Mg6 Mg 0.1715 0.3430 0.8466
# **Energy relative to the elements**: -0.082 eV/atom
# **Crystal system**: trigonal
# **Raw total energy**: -0.1458 Ry per atom

# RbBaNa2H, relaxed, DFT PBE-GGA
data_RbBaNa2H
_chemical_formula_sum 'Rb1 Ba1 Na2 H1'
_cell_length_a 6.6408
_cell_length_b 6.6408
_cell_length_c 5.0199
_cell_angle_alpha 90.00
_cell_angle_beta 90.00
_cell_angle_gamma 90.00
_symmetry_space_group_name_H-M 'P 4/m m m'
_symmetry_Int_Tables_number 123
_symmetry_space_group_name_Hall '-P 4 2'
loop_
_atom_site_label
_atom_site_type_symbol
_atom_site_fract_x
_atom_site_fract_y
_atom_site_fract_z
Rb1 Rb 0.0000 0.0000 0.0000
Ba1 Ba 0.5000 0.5000 0.0000
Na1 Na 0.0000 0.5000 0.5000
H1 H 0.5000 0.5000 0.5000
# **Crystal system**: tetragonal
# **Raw total energy**: -0.1301 Ry per atom

# Ho2ErAg4, relaxed, DFT PBE-GGA
data_Ho2ErAg4
_chemical_formula_sum 'Ho4 Er2 Ag8'
_cell_length_a 7.0941
_cell_length_b 7.0941
_cell_length_c 7.1207
_cell_angle_alpha 90.00
_cell_angle_beta 90.00
_cell_angle_gamma 90.00
_symmetry_space_group_name_H-M 'I 4/m m m'
_symmetry_Int_Tables_number 139
_symmetry_space_group_name_Hall '-I 4 2'
loop_
_atom_site_label
_atom_site_type_symbol
_atom_site_fract_x
_atom_site_fract_y
_atom_site_fract_z
Ho1 Ho 0.0000 0.5000 0.0000
Er1 Er 0.0000 0.0000 0.0000
Ag1 Ag 0.2500 0.2500 0.2500
# **Energy relative to the elements**: -0.101 eV/atom
# **Crystal system**: tetragonal
# **Raw total energy**: -0.2712 Ry per atom

# RbTlGa3, relaxed, DFT PBE-GGA
data_RbTlGa3
_chemical_formula_sum 'Rb1 Tl1 Ga3'
_cell_length_a 5.6630
_cell_length_b 5.6630
_cell_length_c 5.6630
_cell_angle_alpha 90.00
_cell_angle_beta 90.00
_cell_angle_gamma 90.00
_symmetry_space_group_name_H-M 'P m -3 m'
_symmetry_Int_Tables_number 221
_symmetry_space_group_name_Hall '-P 4 2 3'
loop_
_atom_site_label
_atom_site_type_symbol
_atom_site_fract_x
_atom_site_fract_y
_atom_site_fract_z
Rb1 Rb 0.0000 0.0000 0.0000
Tl1 Tl 0.5000 0.5000 0.5000
Ga1 Ga 0.0000 0.5000 0.5000
# **Energy relative to the elements**: 0.362 eV/atom
# **Crystal system**: cubic
# **Raw total energy**: -0.1559 Ry per atom
# **Energy above the most stable polymorph in this dataset**: 0.000 eV per atom

# Cs2Tl2I, relaxed, DFT PBE-GGA
data_Cs2Tl2I
_chemical_formula_sum 'Cs4 Tl4 I2'
_cell_length_a 4.6023
_cell_length_b 4.6023
_cell_length_c 23.1313
_cell_angle_alpha 90.00
_cell_angle_beta 90.00
_cell_angle_gamma 90.00
_symmetry_space_group_name_H-M 'I 4/m m m'
_symmetry_Int_Tables_number 139
_symmetry_space_group_name_Hall '-I 4 2'
loop_
_atom_site_label
_atom_site_type_symbol
_atom_site_fract_x
_atom_site_fract_y
_atom_site_fract_z
Cs1 Cs 0.0000 0.0000 0.0982
Tl1 Tl 0.0000 0.5000 0.2500
I1 I 0.0000 0.0000 0.5000
# **Crystal system**: tetragonal
# **Raw formation energy**: -3.05 eV/f.u.
# **Raw total energy**: -0.1623 Ry per atom

no.,total magnetization (μB/cell)
1,0.99
2,0.00
3,0.00
4,0.00
5,0.00
6,0.00